A plane-wave DFT calculation with PBE-GGA was carried out for ZrTe2OsN after structural relaxation.

Unit cell a=5.4411 b=5.4411 c=3.6964 alpha=90.00 beta=90.00 gamma=90.00
Site moments in Bohr magnetons follow the coordinates.
Fractional coordinates of all 5 atoms:
Te (0.0000, 0.5000, 0.0000)  -0.03
Te (0.5000, 0.0000, 0.0000)  -0.03
Os (0.0000, 0.0000, 0.0000)  0.02
Zr (0.5000, 0.5000, 0.5000)  0.51
N (0.0000, 0.0000, 0.5000)  0.01

The total magnetic moment comes out at 0.767 μB per cell. Its distance to the lowest polymorph of the same formula is 0 meV per atom. Its symmetry is P4/mmm (123). The uncorrected formation energy is 0.2288 eV/atom. The uncorrected energy comes out at -0.2443 Ha/atom. Its density of states at the Fermi level is 4.14 states/eV per cell.

=====

A plane-wave DFT calculation with PBE-GGA was carried out for ZrTe2OsN after structural relaxation.

Unit cell a=5.6443 b=5.6443 c=3.9172 alpha=90.00 beta=90.00 gamma=90.00
Site moments in Bohr magnetons follow the coordinates.
Fractional coordinates of all 5 atoms:
Te (0.0000, 0.5000, 0.0000)  -0.06
Te (0.5000, 0.0000, 0.0000)  -0.06
Os (0.5000, 0.5000, 0.5000)  2.09
Zr (0.0000, 0.0000, 0.0000)  0.01
N (0.0000, 0.0000, 0.5000)  -0.07

The total magnetic moment comes out at 2.098 μB per cell. Its distance to the lowest polymorph of the same formula is 831 meV per atom. Its symmetry is P4/mmm (123). The uncorrected formation energy is 1.0597 eV/atom. The uncorrected energy comes out at -0.2138 Ha/atom. Its density of states at the Fermi level is 4.83 states/eV per cell.

=====

A plane-wave DFT calculation with PBE-GGA was carried out for ThOsN after structural relaxation.

Unit cell a=3.5210 b=3.5199 c=17.3173 alpha=90.00 beta=90.00 gamma=90.00
Fractional coordinates of all 12 atoms:
N (0.2499, 0.7500, 0.8050)
N (0.2501, 0.7500, 0.3050)
N (0.7501, 0.2500, 0.1950)
N (0.7499, 0.2500, 0.6950)
Os (0.2497, 0.2500, 0.5000)
Os (0.2503, 0.2500, 0.0000)
Os (0.7503, 0.7500, 0.5000)
Os (0.7497, 0.7500, 0.0000)
Th (0.2500, 0.7500, 0.6662)
Th (0.2500, 0.7500, 0.1662)
Th (0.7500, 0.2500, 0.3338)
Th (0.7500, 0.2500, 0.8338)

The total magnetic moment comes out at 0.000 μB per cell. Its symmetry is P4/nmm (129). The uncorrected formation energy is -0.6714 eV/atom. The uncorrected energy comes out at -0.3551 Ha/atom. Its density of states at the Fermi level is 7.55 states/eV per cell.

=====

A plane-wave DFT calculation with PBE-GGA was carried out for Th3Os5N12 after structural relaxation.

Unit cell a=11.1576 b=11.1576 c=11.1576 alpha=109.47 beta=109.47 gamma=109.47
Fractional coordinates of all 80 atoms:
Os (0.1250, 0.3750, 0.2500)
Os (0.0000, 0.5000, 0.0000)
Os (0.0000, 0.0000, 0.0000)
Os (0.3750, 0.2500, 0.1250)
Os (0.5000, 0.0000, 0.5000)
Os (0.5000, 0.5000, 0.0000)
Os (0.1250, 0.7500, 0.3750)
Os (0.7500, 0.1250, 0.8750)
Os (0.7500, 0.6250, 0.3750)
Os (0.3750, 0.1250, 0.7500)
Os (0.6250, 0.8750, 0.2500)
Os (0.5000, 0.5000, 0.5000)
Os (0.5000, 0.0000, 0.0000)
Os (0.0000, 0.0000, 0.5000)
Os (0.2500, 0.3750, 0.6250)
Os (0.2500, 0.8750, 0.1250)
Os (0.0000, 0.5000, 0.5000)
Os (0.8750, 0.2500, 0.6250)
Os (0.6250, 0.7500, 0.8750)
Os (0.8750, 0.6250, 0.7500)
Th (0.7500, 0.3750, 0.1250)
Th (0.8750, 0.7500, 0.1250)
Th (0.3750, 0.7500, 0.6250)
Th (0.2500, 0.1250, 0.3750)
Th (0.8750, 0.1250, 0.2500)
Th (0.3750, 0.6250, 0.2500)
Th (0.6250, 0.3750, 0.7500)
Th (0.1250, 0.8750, 0.7500)
Th (0.7500, 0.8750, 0.6250)
Th (0.6250, 0.2500, 0.3750)
Th (0.1250, 0.2500, 0.8750)
Th (0.2500, 0.6250, 0.8750)
N (0.6973, 0.1196, 0.0173)
N (0.3200, 0.5173, 0.3977)
N (0.9827, 0.3804, 0.3027)
N (0.5173, 0.1973, 0.1196)
N (0.5777, 0.6973, 0.6800)
N (0.9827, 0.6023, 0.1800)
N (0.3200, 0.8027, 0.4223)
N (0.1023, 0.9223, 0.1196)
N (0.6023, 0.9827, 0.6800)
N (0.6973, 0.5777, 0.1800)
N (0.8027, 0.4827, 0.3804)
N (0.8200, 0.8977, 0.0173)
N (0.1196, 0.6973, 0.5173)
N (0.3804, 0.3977, 0.0777)
N (0.0777, 0.8977, 0.3804)
N (0.4223, 0.1196, 0.6023)
N (0.0777, 0.1800, 0.1973)
N (0.4827, 0.6800, 0.1023)
N (0.8200, 0.9223, 0.3027)
N (0.1196, 0.4223, 0.1023)
N (0.3804, 0.9827, 0.8027)
N (0.6023, 0.6196, 0.4223)
N (0.8977, 0.8200, 0.5173)
N (0.8027, 0.3200, 0.9223)
N (0.3977, 0.3804, 0.5777)
N (0.1023, 0.1800, 0.4827)
N (0.1973, 0.6800, 0.0777)
N (0.1800, 0.0777, 0.6973)
N (0.6196, 0.0173, 0.1973)
N (0.8804, 0.5777, 0.8977)
N (0.5173, 0.3200, 0.8977)
N (0.5777, 0.8804, 0.3977)
N (0.9223, 0.8200, 0.8027)
N (0.9223, 0.1023, 0.6196)
N (0.8804, 0.3027, 0.4827)
N (0.1800, 0.1023, 0.9827)
N (0.6196, 0.6023, 0.9223)
N (0.3977, 0.0173, 0.3200)
N (0.3027, 0.4223, 0.8200)
N (0.1973, 0.5173, 0.6196)
N (0.8977, 0.0777, 0.8804)
N (0.6800, 0.1973, 0.5777)
N (0.4827, 0.8027, 0.8804)
N (0.0173, 0.3977, 0.8200)
N (0.4223, 0.3027, 0.3200)
N (0.0173, 0.6196, 0.6973)
N (0.6800, 0.4827, 0.6023)
N (0.3027, 0.8804, 0.9827)

The total magnetic moment comes out at 0.000 μB per cell. Its symmetry is Ia-3d (230). The uncorrected formation energy is -0.3190 eV/atom. The uncorrected energy comes out at -0.3394 Ha/atom. Its density of states at the Fermi level is 59.40 states/eV per cell.

=====

A plane-wave DFT calculation with PBE-GGA was carried out for Th2OsN after structural relaxation.

Unit cell a=3.8799 b=3.8799 c=6.9138 alpha=73.70 beta=73.70 gamma=60.00
Fractional coordinates of all 4 atoms:
Os (0.0000, 0.0000, 0.0000)
Th (0.2426, 0.2426, 0.2724)
Th (0.7574, 0.7574, 0.7276)
N (0.5000, 0.5000, 0.5000)

The total magnetic moment comes out at 0.000 μB per cell. Its symmetry is R-3m (166). The uncorrected formation energy is -0.6362 eV/atom. The uncorrected energy comes out at -0.3394 Ha/atom. Its density of states at the Fermi level is 1.29 states/eV per cell.

=====

A plane-wave DFT calculation with PBE-GGA was carried out for TiOsN2 after structural relaxation.

Unit cell a=6.4260 b=6.4260 c=6.4260 alpha=26.21 beta=26.21 gamma=26.21
Fractional coordinates of all 4 atoms:
N (0.8962, 0.8962, 0.8962)
N (0.1038, 0.1038, 0.1038)
Os (0.0000, 0.0000, 0.0000)
Ti (0.5000, 0.5000, 0.5000)

The total magnetic moment comes out at 0.000 μB per cell. Its distance to the lowest polymorph of the same formula is 36 meV per atom. Its symmetry is R-3m (166). The uncorrected formation energy is -0.3066 eV/atom. The uncorrected energy comes out at -0.3399 Ha/atom. Its density of states at the Fermi level is 2.60 states/eV per cell.

=====

A plane-wave DFT calculation with PBE-GGA was carried out for Ti8Os2N after structural relaxation.

Unit cell a=4.5543 b=5.5244 c=7.5125 alpha=109.74 beta=107.64 gamma=90.00
Fractional coordinates of all 11 atoms:
Ti (0.4178, 0.5950, 0.8355)
Ti (0.6402, 0.9617, 0.2804)
Ti (0.7848, 0.7181, 0.5697)
Ti (0.9779, 0.2064, 0.9558)
Ti (0.2152, 0.2819, 0.4303)
Ti (0.3598, 0.0383, 0.7196)
Ti (0.5822, 0.4050, 0.1645)
Ti (0.0221, 0.7936, 0.0442)
Os (0.8349, 0.3350, 0.6697)
Os (0.1651, 0.6650, 0.3303)
N (0.5000, 0.0000, 0.0000)

The total magnetic moment comes out at 0.001 μB per cell. Its symmetry is C2/m (12). The uncorrected formation energy is -0.3270 eV/atom. The uncorrected energy comes out at -0.3259 Ha/atom. Its density of states at the Fermi level is 12.96 states/eV per cell.

=====

A plane-wave DFT calculation with PBE-GGA was carried out for Ti2OsN after structural relaxation.

Unit cell a=5.7492 b=5.7492 c=5.4237 alpha=57.99 beta=57.99 gamma=90.00
Fractional coordinates of all 8 atoms:
N (0.5000, 0.5000, 0.0000)
N (0.2500, 0.7500, 0.5000)
Os (0.0000, 0.0000, 0.0000)
Os (0.7500, 0.2500, 0.5000)
Ti (0.5453, 0.1250, 0.2500)
Ti (0.2047, 0.6250, 0.2500)
Ti (0.3750, 0.4547, 0.7500)
Ti (0.8750, 0.7953, 0.7500)

The total magnetic moment comes out at 0.000 μB per cell. Its distance to the lowest polymorph of the same formula is 0 meV per atom. Its symmetry is I-42d (122). The uncorrected formation energy is -0.3983 eV/atom. The uncorrected energy comes out at -0.3394 Ha/atom. Its density of states at the Fermi level is 7.51 states/eV per cell.